[1]
This record from Alexandria via LeMat-Bulk describes ReSiBr2 after structural relaxation. The functional is GGA-PBE.

Output
Raw formation energy ... 0.24 eV/atom
Total energy ... -5.064 eV per atom

abc: 3.2043 3.7509 7.8809
angles: 90.00 101.51 90.00
Closest atoms and distances in Å follow each position.
Atoms (fractional coordinates):
Re  0.0000  0.0000  0.0000  4 Si 2.49, 3 Br 2.53-2.77
Si  0.5205  0.5000  0.0417  4 Re 2.49
Br  0.1604  0.0000  0.3271  1 Re 2.53
Br  0.8705  0.5000  0.7359  2 Re 2.77, 2 Si 2.85

***

[2]
This record from Alexandria via LeMat-Bulk describes Tb6Mg2Ni after structural relaxation. The functional is GGA-PBE.

Output
Total energy ... -4.116 eV per atom

abc: 7.0999 7.0999 7.4562
angles: 120.93 120.93 61.83
Closest atoms and distances in Å follow each position.
Atoms (fractional coordinates):
Tb  0.2141  0.7164  0.7125  1 Ni 2.65
Tb  0.2402  0.2402  0.7970  1 Ni 2.56
Tb  0.2836  0.7859  0.2875  1 Ni 2.65
Tb  0.7164  0.2141  0.7125  1 Ni 2.65
Tb  0.7598  0.7598  0.2030  1 Ni 2.56
Tb  0.7859  0.2836  0.2875  1 Ni 2.65
Mg  0.2533  0.2533  0.2403  5 Tb 3.21-3.41
Mg  0.7467  0.7467  0.7597  5 Tb 3.21-3.41
Ni  0.5000  0.5000  0.0000  6 Tb 2.56-2.65

***

[3]
This record from Alexandria via LeMat-Bulk describes CoNiGe4 after structural relaxation. The functional is GGA-PBE.

Output
Total energy ... -5.067 eV per atom

abc: 6.7453 6.7453 6.7453
angles: 100.55 100.55 129.33
Closest atoms and distances in Å follow each position.
Atoms (fractional coordinates):
Co  0.3750  0.6250  0.7500  4 Ge 2.27
Co  0.6250  0.3750  0.2500  4 Ge 2.27
Ni  0.1250  0.8750  0.2500  4 Ge 2.27
Ni  0.8750  0.1250  0.7500  4 Ge 2.27
Ge  0.2398  0.7416  0.4982  1 Co 2.27, 1 Ni 2.27
Ge  0.2565  0.2584  0.9982  1 Co 2.27, 1 Ni 2.27
Ge  0.2584  0.2565  0.4982  1 Co 2.27, 1 Ni 2.27
Ge  0.2584  0.7602  0.0018  1 Co 2.27, 1 Ni 2.27
Ge  0.7416  0.2398  0.9982  1 Co 2.27, 1 Ni 2.27
Ge  0.7416  0.7435  0.5018  1 Co 2.27, 1 Ni 2.27
Ge  0.7435  0.7416  0.0018  1 Co 2.27, 1 Ni 2.27
Ge  0.7602  0.2584  0.5018  1 Co 2.27, 1 Ni 2.27

***

[4]
This record from Alexandria via LeMat-Bulk describes CrBBr3 after structural relaxation. The functional is GGA-PBE.

Output
Raw formation energy ... 0.58 eV/atom
Total energy ... -3.687 eV per atom

abc: 5.1232 5.1232 5.1232
angles: 90.00 90.00 90.00
Closest atoms and distances in Å follow each position.
Atoms (fractional coordinates):
Cr  0.0000  0.0000  0.0000  6 Br 2.56
B  0.5000  0.5000  0.5000  12 Br 3.62
Br  0.0000  0.0000  0.5000  2 Cr 2.56
Br  0.0000  0.5000  0.0000  2 Cr 2.56
Br  0.5000  0.0000  0.0000  2 Cr 2.56

***

[5]
This record from Alexandria via LeMat-Bulk describes LiThIn2 after structural relaxation. The functional is GGA-PBE.

Output
Total energy ... -3.858 eV per atom

abc: 10.6977 10.6977 10.6977
angles: 18.00 18.00 18.00
Closest atoms and distances in Å follow each position.
Atoms (fractional coordinates):
Li  0.0000  0.0000  0.0000  6 In 3.05, 6 Li 3.35
Th  0.5000  0.5000  0.5000  6 Th 3.35, 6 In 3.49
In  0.2587  0.2587  0.2587  3 Li 3.05, 6 In 3.35
In  0.7413  0.7413  0.7413  3 Li 3.05, 6 In 3.35

***

[6]
This record from Alexandria via LeMat-Bulk describes CaCo2Pb2 after structural relaxation. The functional is GGA-PBE.

Output
Total energy ... -4.504 eV per atom

abc: 7.6713 7.6713 3.4083
angles: 90.00 90.00 90.00
Closest atoms and distances in Å follow each position.
Atoms (fractional coordinates):
Ca  0.0000  0.0000  0.0000  4 Co 3.05, 8 Pb 3.33, 2 Ca 3.41
Ca  0.5000  0.5000  0.0000  4 Co 3.05, 8 Pb 3.33, 2 Ca 3.41
Co  0.1220  0.3780  0.0000  1 Co 2.65, 6 Pb 2.80-2.87
Co  0.3780  0.8780  0.0000  1 Co 2.65, 6 Pb 2.80-2.87
Co  0.6220  0.1220  0.0000  1 Co 2.65, 6 Pb 2.80-2.87
Co  0.8780  0.6220  0.0000  1 Co 2.65, 6 Pb 2.80-2.87
Pb  0.1650  0.6650  0.5000  6 Co 2.80-2.87
Pb  0.3350  0.1650  0.5000  6 Co 2.80-2.87
Pb  0.6650  0.8350  0.5000  6 Co 2.80-2.87
Pb  0.8350  0.3350  0.5000  6 Co 2.80-2.87

***

[7]
This record from Alexandria via LeMat-Bulk describes FePbAu2 after structural relaxation. The functional is GGA-PBE.

Output
Total energy ... -4.382 eV per atom

abc: 4.4991 4.4991 3.9749
angles: 90.00 90.00 102.02
Closest atoms and distances in Å follow each position.
Atoms (fractional coordinates):
Fe  0.0000  0.0000  0.0000  2 Pb 2.83, 8 Au 3.00
Pb  0.5000  0.5000  0.0000  2 Fe 2.83, 8 Au 3.00
Au  0.0000  0.5000  0.5000  2 Au 2.83, 4 Fe 3.00, 4 Pb 3.00
Au  0.5000  0.0000  0.5000  2 Au 2.83, 4 Fe 3.00, 4 Pb 3.00

***

[8]
This record from Alexandria via LeMat-Bulk describes TiZn2As after structural relaxation. The functional is GGA-PBE.

Output
Total energy ... -3.847 eV per atom

abc: 5.8320 5.8320 5.8320
angles: 100.65 100.65 129.07
Closest atoms and distances in Å follow each position.
Atoms (fractional coordinates):
Ti  0.0000  0.0000  0.0000  2 As 2.51
Ti  0.7500  0.2500  0.5000  2 As 2.51
Zn  0.1506  0.1250  0.5256  2 Zn 2.54, 2 As 2.58, 2 Ti 2.84
Zn  0.3750  0.8494  0.9744  2 Zn 2.54, 2 As 2.58, 2 Ti 2.84
Zn  0.5994  0.6250  0.4744  2 Zn 2.54, 2 As 2.58, 2 Ti 2.84
Zn  0.8750  0.4006  0.0256  2 Zn 2.54, 2 As 2.58, 2 Ti 2.84
As  0.2500  0.7500  0.5000  2 Ti 2.51, 4 Zn 2.58
As  0.5000  0.5000  0.0000  2 Ti 2.51, 4 Zn 2.58

***

[9]
This record from Alexandria via LeMat-Bulk describes ScRh2 after structural relaxation. The functional is GGA-PBE.

Output
Total energy ... -7.568 eV per atom

abc: 5.2287 5.2287 6.5758
angles: 101.41 101.41 32.98
Closest atoms and distances in Å follow each position.
Atoms (fractional coordinates):
Sc  0.0000  0.0000  0.0000  8 Rh 2.66-2.87, 2 Sc 2.97
Sc  0.7089  0.7089  0.3842  8 Rh 2.69-2.76, 2 Sc 2.97
Rh  0.2930  0.2930  0.0918  5 Sc 2.70-2.87, 7 Rh 2.82-2.97
Rh  0.3586  0.3586  0.6942  4 Sc 2.66-2.71, 8 Rh 2.74-2.97
Rh  0.6372  0.6372  0.7558  3 Sc 2.69-2.75, 9 Rh 2.74-2.97
Rh  0.9820  0.9820  0.4163  4 Sc 2.70-2.78, 8 Rh 2.83-2.97

***

[10]
This record from Alexandria via LeMat-Bulk describes LiSmCuRu after structural relaxation. The functional is GGA-PBE.

Output
Total energy ... -4.888 eV per atom

abc: 4.6158 4.6158 4.6158
angles: 60.00 60.00 60.00
Closest atoms and distances in Å follow each position.
Atoms (fractional coordinates):
Li  0.0000  0.0000  0.0000  4 Sm 2.83, 4 Cu 2.83
Sm  0.7500  0.7500  0.7500  4 Li 2.83, 4 Ru 2.83
Cu  0.2500  0.2500  0.2500  4 Li 2.83, 4 Ru 2.83
Ru  0.5000  0.5000  0.5000  4 Cu 2.83, 4 Sm 2.83

***

[11]
This record from Alexandria via LeMat-Bulk describes TbNdAlHg after structural relaxation. The functional is GGA-PBE.

Output
Total energy ... -3.791 eV per atom

abc: 3.5810 3.5810 8.0582
angles: 90.00 90.00 90.00
Closest atoms and distances in Å follow each position.
Atoms (fractional coordinates):
Tb  0.0000  0.0000  0.0000  4 Al 3.15, 4 Hg 3.21
Nd  0.0000  0.0000  0.5218  4 Al 3.21, 4 Hg 3.37, 4 Nd 3.58
Al  0.5000  0.5000  0.7672  4 Tb 3.15, 4 Nd 3.21
Hg  0.5000  0.5000  0.2450  4 Tb 3.21, 4 Nd 3.37, 4 Hg 3.58

***

[12]
This record from Alexandria via LeMat-Bulk describes GdScCdBi after structural relaxation. The functional is GGA-PBE.

Output
Total energy ... -6.678 eV per atom

abc: 5.3015 5.3015 5.3015
angles: 60.00 60.00 60.00
Closest atoms and distances in Å follow each position.
Atoms (fractional coordinates):
Gd  0.0000  0.0000  0.0000  4 Cd 3.25, 4 Bi 3.25
Sc  0.5000  0.5000  0.5000  4 Cd 3.25, 4 Bi 3.25
Cd  0.2500  0.2500  0.2500  4 Gd 3.25, 4 Sc 3.25
Bi  0.7500  0.7500  0.7500  4 Gd 3.25, 4 Sc 3.25

***

no.,calculated volume (Å³ per cell),density of states at the Fermi level (states/eV per atom)
1,93,0.8057
2,265,1.0598
3,215,0.8697
4,134,0.4722
5,102,0.3790
6,201,0.8015
7,79,0.8632
8,139,0.7553
9,96,0.7507
10,70,0.8122
11,103,0.4521
12,105,1.1506